# 1
Density functional theory data (PBE-GGA) for Fe2NiSe after structural relaxation.

Output
Raw formation energy: 0.319 eV per atom

```
Fe2NiSe
1.0
1.404 0.811 7.723
-1.404 0.811 7.723
0.000 -1.621 7.723
Fe Ni Se
2 1 1
Direct
0.249 0.249 0.249
0.751 0.751 0.751
0.500 0.500 0.500
0.000 0.000 0.000
```

---

# 2
Density functional theory data (PBE-GGA) for La2Sm3Ho2 after structural relaxation.

```
La2Sm3Ho2
1.0
8.924 -1.776 0.000
8.924 1.776 0.000
-4.219 0.000 7.587
La Sm Ho
2 3 2
Direct
0.065 0.065 0.217
0.935 0.935 0.783
0.288 0.288 0.371
0.500 0.500 0.500
0.712 0.712 0.629
0.348 0.348 0.036
0.652 0.652 0.964
```

---

# 3
Density functional theory data (PBE-GGA) for Ca2TeIrN after structural relaxation.

Output
Raw formation energy: -0.690 eV per atom

```
Ca2TeIrN
1.0
5.647 0.000 0.000
0.000 5.647 0.000
0.000 0.000 3.780
Ca Te Ir N
2 1 1 1
Direct
0.000 0.500 0.000
0.500 0.000 0.000
0.000 0.000 0.500
0.500 0.500 0.000
0.500 0.500 0.500
```

---

# 4
Density functional theory data (PBE-GGA) for Pu2Pa3TaN6 after structural relaxation.

Output
Raw formation energy: -1.434 eV per atom

```
Pu2Pa3TaN6
1.0
2.970 -5.130 0.000
2.970 5.130 0.000
-1.980 0.000 5.574
Pu Pa Ta N
2 3 1 6
Direct
0.166 0.834 0.000
0.834 0.166 0.000
0.000 0.000 0.500
0.331 0.669 0.500
0.669 0.331 0.500
0.500 0.500 0.000
0.112 0.422 0.763
0.273 0.273 0.247
0.422 0.112 0.763
0.578 0.888 0.237
0.727 0.727 0.753
0.888 0.578 0.237
```

---

# 5
Density functional theory data (PBE-GGA) for La2TbAl after structural relaxation.

```
La2TbAl
1.0
4.865 0.000 0.000
0.000 4.865 0.000
0.000 0.000 4.995
La Tb Al
2 1 1
Direct
0.000 0.500 0.000
0.500 0.000 0.000
0.000 0.000 0.500
0.500 0.500 0.500
```

---

# 6
Density functional theory data (PBE-GGA) for ErZn2Pd after structural relaxation.

```
ErZn2Pd
1.0
3.336 0.000 0.000
0.000 3.336 0.000
0.000 0.000 6.490
Er Zn Pd
1 2 1
Direct
0.000 0.000 0.000
0.500 0.500 0.298
0.500 0.500 0.702
0.000 0.000 0.500
```

---

# 7
Density functional theory data (PBE-GGA) for Sm7Hg2Pb2 after structural relaxation.

```
Sm7Hg2Pb2
1.0
4.174 -5.762 0.000
4.174 5.762 0.000
0.000 0.000 7.606
Sm Hg Pb
7 2 2
Direct
0.000 0.000 0.000
0.000 0.500 0.283
0.000 0.500 0.717
0.500 0.000 0.283
0.500 0.000 0.717
0.500 0.500 0.246
0.500 0.500 0.754
0.283 0.717 0.000
0.717 0.283 0.000
0.184 0.184 0.500
0.816 0.816 0.500
```

---

# 8
Density functional theory data (PBE-GGA) for Na2Hg4Pb3 after structural relaxation.

```
Na2Hg4Pb3
1.0
3.315 -8.069 0.000
3.315 8.069 0.000
0.000 0.000 10.121
Na Hg Pb
4 8 6
Direct
0.114 0.886 0.944
0.386 0.614 0.444
0.614 0.386 0.556
0.886 0.114 0.056
0.192 0.808 0.528
0.228 0.272 0.750
0.272 0.228 0.250
0.308 0.692 0.028
0.692 0.308 0.972
0.728 0.772 0.750
0.772 0.728 0.250
0.808 0.192 0.472
0.000 0.000 0.500
0.037 0.463 0.750
0.463 0.037 0.250
0.500 0.500 0.000
0.537 0.963 0.750
0.963 0.537 0.250
```

---

| no. | D(E_F) (states/eV/f.u.) | energy (Ha/atom) |
| --- | --- | --- |
| 1 | 3.79 | -0.2289 |
| 2 | 11.41 | -0.1696 |
| 3 | 3.24 | -0.2042 |
| 4 | 9.61 | -0.4170 |
| 5 | 5.92 | -0.1736 |
| 6 | 2.60 | -0.1289 |
| 7 | 14.52 | -0.1413 |
| 8 | 3.60 | -0.0632 |